Record 1
Here is a relaxed structure of Zr5TiCd2 from Alexandria. Energies are from GGA-PBE.

Computed properties:
crystal system: tetragonal
calculated total energy: -6.6313 eV/atom

Lattice parameters (Å, degrees): 4.423 4.423 17.951 90.00 90.00 90.00
Space group I4/mmm (No. 139)
Inequivalent atoms, fractional coordinates:
1 Zr 0.000 0.000 0.000 x2
2 Zr 0.000 0.500 0.121 x8
3 Ti 0.000 0.000 0.500 x2
4 Cd 0.000 0.000 0.250 x4

---

Record 2
Here is a relaxed structure of Ca4Tl2ZnCd from Alexandria. Energies are from GGA-PBE.

Computed properties:
crystal system: trigonal
calculated total energy: -2.2433 eV/atom

Lattice parameters (Å, degrees): 5.4094 5.4094 26.4383 90.00 90.00 120.00
Space group R-3m (No. 166, hexagonal axes)
Inequivalent atoms, fractional coordinates:
1 Ca 0.0000 0.0000 0.1228 x6
2 Ca 0.0000 0.0000 0.3730 x6
3 Tl 0.0000 0.0000 0.2490 x6
4 Zn 0.0000 0.0000 0.0000 x3
5 Cd 0.0000 0.0000 0.5000 x3

---

Record 3
Here is a relaxed structure of Li2GeAs from Alexandria. Energies are from GGA-PBE.

Computed properties:
crystal system: tetragonal
calculated total energy: -3.5671 eV/atom
excess energy over the best structure of this formula in the dataset: 95 meV/atom

Lattice parameters (Å, degrees): 3.195 3.195 6.303 90.00 90.00 90.00
Space group P4/mmm (No. 123)
Inequivalent atoms, fractional coordinates:
1 Li 0.000 0.000 0.243 x2
2 Ge 0.500 0.500 0.500 x1
3 As 0.500 0.500 0.000 x1